InTeBr | GGA-PBE | relaxed

a b c (Å): 4.554 7.654 7.339
angles (deg): 86.66 89.93 90.00
Element x y z (fractional)
In 0.657 0.467 0.449
In 0.157 0.939 0.749
Te 0.157 0.580 0.649
Te 0.657 0.156 0.706
Br 0.156 0.866 0.092
Br 0.657 0.399 0.123

- magnetic moment (Bohr magnetons per cell) = 0.00
- final energy (eV for the cell shown) = -17.72
- formation energy without anion corrections (eV/atom) = -0.4351